[1]
Below is crystalline Rb3U3AgSe8 at its relaxed geometry, with properties calculated at the PBE level.

abc: 8.361 8.352 9.413
angles: 116.27 90.00 120.04
Each line ends with the local moment (μB).
Atoms (fractional coordinates):
Se 0.240 0.954 0.693  -0.07
Se 0.761 0.522 0.307  -0.07
Se 0.286 0.046 0.307  -0.07
Se 0.267 0.535 0.302  -0.05
Se 0.760 0.046 0.307  -0.07
Se 0.714 0.954 0.693  -0.07
Se 0.239 0.478 0.693  -0.07
Se 0.733 0.465 0.698  -0.05
U 0.500 0.000 0.500  2.12
U 0.000 0.500 0.500  2.12
U 0.500 0.500 0.500  2.12
Ag 0.000 0.000 0.500  -0.03
Rb 0.000 0.500 0.000  0.00
Rb 0.000 0.000 0.000  0.00
Rb 0.500 0.500 0.000  0.00

- Energy: -5.6013 eV/atom

=====

[2]
Below is crystalline LuCd2Rh at its relaxed geometry, with properties calculated at the PBE level.

abc: 4.900 4.052 4.052
angles: 90.00 90.00 90.00
Atoms (fractional coordinates):
Cd 0.000 0.500 0.000
Cd 0.000 0.000 0.500
Rh 0.500 0.500 0.500
Lu 0.500 0.000 0.000

- Energy: -3.7891 eV/atom
- Formation enthalpy at 0 K: -363 meV per atom

=====

[3]
Below is crystalline SrNpZn17 at its relaxed geometry, with properties calculated at the PBE level.

abc: 6.867 6.867 6.867
angles: 82.78 82.78 82.78
Each line ends with the local moment (μB).
Atoms (fractional coordinates):
Zn 0.296 0.998 0.707  0.00
Zn 0.000 0.000 0.500  0.00
Zn 0.296 0.707 0.998  0.00
Zn 0.356 0.834 0.356  0.00
Zn 0.707 0.998 0.296  0.00
Zn 0.652 0.652 0.154  0.00
Zn 0.154 0.652 0.652  0.00
Zn 0.652 0.154 0.652  0.00
Zn 0.707 0.296 0.998  0.00
Zn 0.834 0.356 0.356  0.00
Zn 0.998 0.296 0.707  0.00
Zn 0.998 0.707 0.296  0.00
Zn 0.897 0.897 0.897  0.01
Zn 0.000 0.500 0.000  0.00
Zn 0.356 0.356 0.834  0.00
Zn 0.096 0.096 0.096  -0.01
Zn 0.500 0.000 0.000  0.00
Sr 0.338 0.338 0.338  -0.01
Np 0.664 0.664 0.664  3.98

- Energy: -2.0205 eV/atom
- Formation enthalpy at 0 K: -111 meV per atom

=====

[4]
Below is crystalline NaRe2PdPb at its relaxed geometry, with properties calculated at the PBE level.

abc: 4.742 4.530 4.742
angles: 90.00 90.00 90.00
Each line ends with the local moment (μB).
Atoms (fractional coordinates):
Pb 0.500 0.500 0.500  -0.06
Re 0.500 0.000 0.000  1.81
Re 0.000 0.000 0.500  1.93
Pd 0.000 0.500 0.000  0.07
Na 0.000 0.000 0.000  0.03

- Energy: -4.6772 eV/atom
- Formation enthalpy at 0 K: 2346 meV per atom

=====

[5]
Below is crystalline UCoPbS3 at its relaxed geometry, with properties calculated at the PBE level.

abc: 3.877 8.395 8.658
angles: 103.59 90.00 90.00
Each line ends with the local moment (μB).
Atoms (fractional coordinates):
Pb 0.750 0.845 0.724  0.03
Pb 0.250 0.155 0.276  0.03
Co 0.750 0.926 0.399  -0.90
Co 0.250 0.074 0.601  -0.90
S 0.750 0.881 0.127  -0.06
S 0.250 0.556 0.837  -0.06
S 0.250 0.808 0.462  -0.06
S 0.750 0.192 0.538  -0.06
S 0.750 0.444 0.163  -0.06
S 0.250 0.119 0.873  -0.06
U 0.250 0.671 0.160  1.95
U 0.750 0.329 0.840  1.95

- Energy: -6.5465 eV/atom

=====

[6]
Below is crystalline RbTi4Cl7 at its relaxed geometry, with properties calculated at the PBE level.

abc: 5.949 6.081 15.897
angles: 90.00 90.00 90.00
Each line ends with the local moment (μB).
Atoms (fractional coordinates):
Cl 0.418 0.725 0.720  0.00
Cl 0.459 0.362 0.879  0.00
Cl 0.020 0.777 0.886  0.01
Cl 0.041 0.148 0.500  0.00
Cl 0.541 0.852 0.000  0.00
Cl 0.918 0.275 0.220  0.00
Cl 0.459 0.362 0.121  0.00
Cl 0.520 0.223 0.386  0.01
Cl 0.959 0.638 0.379  0.00
Cl 0.959 0.638 0.621  0.00
Cl 0.020 0.777 0.114  0.01
Cl 0.418 0.725 0.280  0.00
Cl 0.520 0.223 0.614  0.01
Cl 0.918 0.275 0.780  0.00
Rb 0.490 0.746 0.500  0.00
Rb 0.990 0.254 0.000  0.00
Ti 0.036 0.900 0.737  1.00
Ti 0.036 0.900 0.263  1.00
Ti 0.629 0.749 0.150  1.28
Ti 0.629 0.749 0.850  1.28
Ti 0.129 0.251 0.350  1.28
Ti 0.129 0.251 0.650  1.28
Ti 0.536 0.100 0.763  1.00
Ti 0.536 0.100 0.237  1.00

- Energy: -4.9384 eV/atom

=====

[7]
Below is crystalline LiPr2Zn4 at its relaxed geometry, with properties calculated at the PBE level.

abc: 4.335 5.328 7.748
angles: 110.11 90.00 90.00
Atoms (fractional coordinates):
Zn 0.500 0.584 0.168
Zn 0.000 0.686 0.371
Zn 0.500 0.416 0.832
Zn 0.000 0.314 0.629
Li 0.000 0.500 0.000
Pr 0.500 0.839 0.678
Pr 0.500 0.161 0.322

- Energy: -2.4546 eV/atom
- Formation enthalpy at 0 K: -88 meV per atom

=====

[8]
Below is crystalline GeHSe2 at its relaxed geometry, with properties calculated at the PBE level.

abc: 4.763 5.247 8.041
angles: 90.01 90.23 89.96
Atoms (fractional coordinates):
Ge 0.698 0.321 0.995
Ge 0.201 0.821 0.220
Se 0.699 0.602 0.757
Se 0.701 0.631 0.230
Se 0.198 0.131 0.986
Se 0.201 0.101 0.459
H 0.694 0.381 0.640
H 0.216 0.880 0.576

- Energy: -3.8411 eV/atom
- ΔE to the lowest computed polymorph: 0 meV per atom

=====

[9]
Below is crystalline Li2YCd at its relaxed geometry, with properties calculated at the PBE level.

abc: 5.113 3.261 5.693
angles: 84.26 90.00 90.00
Atoms (fractional coordinates):
Y 0.000 0.443 0.553
Cd 0.500 0.901 0.734
Li 0.500 0.266 0.182
Li 0.000 0.890 0.031

- Energy: -2.8550 eV/atom
- ΔE to the lowest computed polymorph: 53 meV per atom
- Formation enthalpy at 0 K: -53 meV per atom

=====

[10]
Below is crystalline Mn2SiPb at its relaxed geometry, with properties calculated at the PBE level.

abc: 4.784 4.784 3.120
angles: 83.24 83.24 102.57
Each line ends with the local moment (μB).
Atoms (fractional coordinates):
Si 0.000 0.500 0.500  -0.10
Mn 0.000 0.000 0.000  3.17
Mn 0.500 0.500 0.000  3.17
Pb 0.500 0.000 0.500  -0.10

- Energy: -6.3826 eV/atom
- ΔE to the lowest computed polymorph: 276 meV per atom

=====

[11]
Below is crystalline Pu3Np2UP6 at its relaxed geometry, with properties calculated at the PBE level.

abc: 6.841 6.841 6.938
angles: 99.47 99.47 119.92
Each line ends with the local moment (μB).
Atoms (fractional coordinates):
Pu 0.500 0.500 0.500  -4.97
Pu 0.167 0.833 0.500  4.95
Pu 0.833 0.167 0.500  4.95
P 0.753 0.753 0.246  -0.08
P 0.079 0.413 0.245  -0.08
P 0.921 0.587 0.755  -0.08
P 0.587 0.921 0.755  -0.08
P 0.413 0.079 0.245  -0.08
P 0.247 0.247 0.754  -0.08
Np 0.666 0.334 0.000  3.48
Np 0.334 0.666 0.000  3.48
U 0.000 0.000 0.000  1.70

- Energy: -10.3920 eV/atom
- Formation enthalpy at 0 K: -1007 meV per atom

=====

[12]
Below is crystalline Mg2Zn2In at its relaxed geometry, with properties calculated at the PBE level.

abc: 8.067 8.067 3.196
angles: 90.00 90.00 90.00
Atoms (fractional coordinates):
Mg 0.867 0.633 0.000
Mg 0.133 0.367 0.000
Mg 0.367 0.867 0.000
Mg 0.633 0.133 0.000
Zn 0.835 0.335 0.500
Zn 0.665 0.835 0.500
Zn 0.335 0.165 0.500
Zn 0.165 0.665 0.500
In 0.500 0.500 0.000
In 0.000 0.000 0.000

- Energy: -1.6639 eV/atom
- Formation enthalpy at 0 K: 31 meV per atom

=====

Question: Among the records above, which one has the highest energy?
Answer: Mg2Zn2In